Record 1
VASP calculation (GGA-PBE) on an optimized crystal structure of CaCe2Rh.

Unit cell a=3.965 b=3.965 c=28.418 alpha=90.00 beta=90.00 gamma=120.00
Element x y z (fractional)
Ca 0.000 0.000 0.000
Ca 0.333 0.667 0.667
Ca 0.667 0.333 0.333
Ce 0.000 0.000 0.224
Ce 0.000 0.000 0.444
Ce 0.333 0.667 0.110
Ce 0.333 0.667 0.891
Ce 0.667 0.333 0.557
Ce 0.667 0.333 0.777
Rh 0.000 0.000 0.834
Rh 0.333 0.667 0.501
Rh 0.667 0.333 0.167

Output
DFT total energy (eV per atom): -5.545
Calculated volume (Å³/cell): 386.9
Crystal system: trigonal
Energy relative to the lowest polymorph listed for this composition (meV/atom): 6.4
ΔH_f (0 K) (eV per atom): -0.240



Record 2
VASP calculation (GGA-PBE) on an optimized crystal structure of LaCe2F8.

Unit cell a=6.927 b=6.927 c=6.927 alpha=146.61 beta=122.71 gamma=67.96
Element x y z (fractional)
La 0.000 0.000 0.000
Ce 0.317 0.317 0.000
Ce 0.683 0.683 0.000
F 0.119 0.842 0.277
F 0.145 0.645 0.500
F 0.307 0.500 0.807
F 0.436 0.158 0.277
F 0.564 0.842 0.723
F 0.693 0.500 0.193
F 0.855 0.355 0.500
F 0.881 0.158 0.723

Output
DFT total energy (eV per atom): -6.728
Calculated volume (Å³/cell): 151.8
Raw formation energy (meV/atom): -3840
Crystal system: orthorhombic
Energy relative to the lowest polymorph listed for this composition (meV/atom): 39.6



Record 3
VASP calculation (GGA-PBE) on an optimized crystal structure of CaY3Ir.

Unit cell a=7.908 b=7.908 c=7.908 alpha=56.88 beta=56.88 gamma=56.88
Element x y z (fractional)
Ca 0.090 0.090 0.090
Ca 0.910 0.910 0.910
Y 0.087 0.589 0.589
Y 0.411 0.411 0.913
Y 0.411 0.913 0.411
Y 0.589 0.087 0.589
Y 0.589 0.589 0.087
Y 0.913 0.411 0.411
Ir 0.333 0.333 0.333
Ir 0.667 0.667 0.667

Output
DFT total energy (eV per atom): -6.317
Calculated volume (Å³/cell): 324.5
Crystal system: trigonal
Energy relative to the lowest polymorph listed for this composition (meV/atom): 137.3
ΔH_f (0 K) (eV per atom): -0.266



Look up the energy relative to the lowest polymorph listed for this composition of the second one.
39.6 meV/atom